(i)
# ZnCu4Ge

A relaxed structure of ZnCu4Ge (PBE, Alexandria via LeMat-Bulk).

a = 6.897 Å, b = 6.897 Å, c = 6.897 Å
α = 90.00°, β = 90.00°, γ = 90.00°
Space group F-43m (No. 216)
One atom of each set of equivalent atoms:
Zn: 0.000 0.000 0.000 x4
Cu: 0.125 0.125 0.375 x16
Ge: 0.250 0.250 0.750 x4

Summary:
- Calculated density: 7.9 Mg/m³
- Crystal system: cubic



(ii)
# ZnCu4Ge

A relaxed structure of ZnCu4Ge (PBE, Alexandria via LeMat-Bulk).

a = 7.088 Å, b = 4.072 Å, c = 6.357 Å
α = 90.00°, β = 110.92°, γ = 90.00°
Space group C2/m (No. 12)
One atom of each set of equivalent atoms:
Zn: 0.000 0.000 0.000 x2
Cu: 0.135 0.500 0.900 x4
Cu: 0.226 0.000 0.671 x4
Ge: 0.000 0.500 0.500 x2

Summary:
- Calculated density: 7.6 Mg/m³
- Crystal system: monoclinic



(iii)
# ZnCu4Ge

A relaxed structure of ZnCu4Ge (PBE, Alexandria via LeMat-Bulk).

a = 3.813 Å, b = 17.398 Å, c = 5.002 Å
α = 90.00°, β = 90.00°, γ = 90.00°
Space group Cmcm (No. 63)
One atom of each set of equivalent atoms:
Zn: 0.000 0.226 0.250 x4
Cu: 0.000 0.075 0.250 x4
Cu: 0.000 0.351 0.504 x8
Cu: 0.000 0.500 0.000 x4
Ge: 0.000 0.083 0.750 x4

Summary:
- Calculated density: 7.9 Mg/m³
- Crystal system: orthorhombic



The structure with the most favorable energy is (iii); the runner-up is 30 meV/atom above it.